Entry 1:
Below is a relaxed structure of DyEr3Th2P6, with properties calculated at the PBE-GGA level.

Results
M_tot: 0.000 μB per formula unit
space-group type: C2/m, No. 12
energy of formation: -1.597 eV per atom

Cell: 9.0197 9.0197 8.0560 Å, 102.73 102.73 25.93°
Element x y z (fractional)
Dy  0.0000  0.0000  0.0000
Er  0.0000  0.0000  0.5000
Er  0.3340  0.3340  0.1660
Er  0.6660  0.6660  0.8340
Th  0.3352  0.3352  0.6701
Th  0.6648  0.6648  0.3299
P  0.1648  0.1648  0.5885
P  0.1670  0.1670  0.0763
P  0.4977  0.4977  0.2505
P  0.5023  0.5023  0.7495
P  0.8330  0.8330  0.9237
P  0.8352  0.8352  0.4115



Entry 2:
Below is a relaxed structure of CaSiOs2, with properties calculated at the PBE-GGA level.

Results
uncorrected formation energy: 44 kJ/mol of atoms
M_tot: 0.000 μB per formula unit
space-group type: P4/mmm, No. 123

Cell: 4.3490 4.3490 3.2821 Å, 90.00 90.00 90.00°
Element x y z (fractional)
Ca  0.0000  0.0000  0.0000
Si  0.5000  0.5000  0.0000
Os  0.0000  0.5000  0.5000
Os  0.5000  0.0000  0.5000



Entry 3:
Below is a relaxed structure of Cs8KCl2, with properties calculated at the PBE-GGA level.

Results
uncorrected formation energy: -61 kJ/mol of atoms
M_tot: 0.000 μB per formula unit
space-group type: C2/m, No. 12

Cell: 10.6411 10.6411 12.7583 Å, 112.00 112.00 57.85°
Element x y z (fractional)
Cs  0.1277  0.1277  0.6734
Cs  0.1367  0.6378  0.7425
Cs  0.3160  0.3160  0.0993
Cs  0.3622  0.8633  0.2575
Cs  0.6378  0.1367  0.7425
Cs  0.6840  0.6840  0.9007
Cs  0.8633  0.3622  0.2575
Cs  0.8723  0.8723  0.3266
K  0.5000  0.5000  0.5000
Cl  0.3220  0.3220  0.8429
Cl  0.6780  0.6780  0.1571



Entry 4:
Below is a relaxed structure of CaBeAs2, with properties calculated at the PBE-GGA level.

Results
M_tot: 0.000 μB per formula unit
space-group type: C2/m, No. 12
energy of formation: -0.121 eV per atom

Cell: 4.3440 4.3440 3.9513 Å, 90.38 90.38 90.82°
Element x y z (fractional)
Ca  0.0000  0.0000  0.0000
Be  0.5000  0.5000  0.0000
As  0.0000  0.5000  0.5000
As  0.5000  0.0000  0.5000



Entry 5:
Below is a relaxed structure of Rb2ErBiSe4, with properties calculated at the PBE-GGA level.

Results
uncorrected formation energy: -121 kJ/mol of atoms
M_tot: 0.000 μB per formula unit
space-group type: P2/m, No. 10

Cell: 7.4525 4.2784 8.3618 Å, 90.00 107.04 90.00°
Element x y z (fractional)
Rb  0.0000  0.0000  0.0000
Rb  0.5000  0.5000  0.0000
Er  0.0000  0.5000  0.5000
Bi  0.5000  0.0000  0.5000
Se  0.2233  0.0000  0.6952
Se  0.2573  0.5000  0.3004
Se  0.7427  0.5000  0.6996
Se  0.7767  0.0000  0.3048



Entry 6:
Below is a relaxed structure of HfAs3Cl, with properties calculated at the PBE-GGA level.

Results
uncorrected formation energy: 15 kJ/mol of atoms
M_tot: 0.000 μB per formula unit
offset from the most stable computed form: 0.0000 eV/atom
space-group type: Pm-3m, No. 221

Cell: 5.1421 5.1421 5.1421 Å, 90.00 90.00 90.00°
Element x y z (fractional)
Hf  0.0000  0.0000  0.0000
As  0.0000  0.0000  0.5000
As  0.0000  0.5000  0.0000
As  0.5000  0.0000  0.0000
Cl  0.5000  0.5000  0.5000



Entry 7:
Below is a relaxed structure of AcMgGa2Au4, with properties calculated at the PBE-GGA level.

Results
M_tot: 0.000 μB per formula unit
space-group type: R-3m, No. 166
energy of formation: -0.543 eV per atom

Cell: 9.6417 9.6417 9.6417 Å, 27.55 27.55 27.55°
Element x y z (fractional)
Ac  0.0000  0.0000  0.0000
Mg  0.5000  0.5000  0.5000
Ga  0.2404  0.2404  0.2404
Ga  0.7596  0.7596  0.7596
Au  0.1367  0.1367  0.1367
Au  0.3996  0.3996  0.3996
Au  0.6004  0.6004  0.6004
Au  0.8633  0.8633  0.8633



Entry 8:
Below is a relaxed structure of Pr7Co2Hg, with properties calculated at the PBE-GGA level.

Results
M_tot: 0.000 μB per formula unit
space-group type: Cmmm, No. 65
energy of formation: 0.036 eV per atom

Cell: 8.2881 8.2881 5.0889 Å, 90.00 90.00 110.95°
Element x y z (fractional)
Pr  0.0000  0.0000  0.0000
Pr  0.1909  0.4511  0.0000
Pr  0.1953  0.8047  0.5000
Pr  0.4511  0.1909  0.0000
Pr  0.5489  0.8091  0.0000
Pr  0.8047  0.1953  0.5000
Pr  0.8091  0.5489  0.0000
Co  0.2039  0.7961  0.0000
Co  0.7961  0.2039  0.0000
Hg  0.5000  0.5000  0.5000